# Nd4DyTe2, relaxed, DFT PBE
data_Nd4DyTe2
_cell_length_a 9.597
_cell_length_b 9.597
_cell_length_c 9.597
_cell_angle_alpha 33.77
_cell_angle_beta 33.77
_cell_angle_gamma 33.77
_symmetry_space_group_name_H-M 'P 1'
_symmetry_Int_Tables_number 1
_symmetry_space_group_name_Hall 'P 1'
loop_
_atom_site_label
_atom_site_type_symbol
_atom_site_fract_x
_atom_site_fract_y
_atom_site_fract_z
Nd1 Nd 0.133 0.133 0.133
Nd2 Nd 0.268 0.268 0.268
Nd3 Nd 0.732 0.732 0.732
Nd4 Nd 0.867 0.867 0.867
Dy1 Dy 0.500 0.500 0.500
Te1 Te 0.386 0.386 0.386
Te2 Te 0.614 0.614 0.614
# - ΔE_f (raw): -580 meV/atom
# - DOS(E_F): 6.40 states/eV per cell
# - Total magnetization: 0.00 μB/f.u.
# - Energy: -4.8596 eV per atom

***

# LiVS2Cl, relaxed, DFT PBE
data_LiVS2Cl
_cell_length_a 4.373
_cell_length_b 4.373
_cell_length_c 4.636
_cell_angle_alpha 90.00
_cell_angle_beta 90.00
_cell_angle_gamma 90.00
_symmetry_space_group_name_H-M 'P 1'
_symmetry_Int_Tables_number 1
_symmetry_space_group_name_Hall 'P 1'
loop_
_atom_site_label
_atom_site_type_symbol
_atom_site_fract_x
_atom_site_fract_y
_atom_site_fract_z
Li1 Li 0.000 0.000 0.000
V1 V 0.500 0.500 0.500
S1 S 0.000 0.500 0.000
S2 S 0.500 0.000 0.000
Cl1 Cl 0.000 0.000 0.500
# - Distance to the lowest polymorph of the same formula: 0.883 eV per atom
# - ΔE_f (raw): 155 meV/atom
# - DOS(E_F): 3.86 states/eV per cell
# - Total magnetization: 2.30 μB/f.u.
# - Energy: -4.0716 eV per atom

***

Q: The highest ΔE_f (raw) belongs to which entry?
A: LiVS2Cl